First-principles (PBE) data for Sr2MgZn4Pt3 after structural relaxation, as listed in Alexandria.

Unit cell a=4.2748 b=4.2748 c=11.3062 alpha=90.00 beta=90.00 gamma=90.00
Closest atoms and distances in Å follow each position.
Fractional positions:
Zn: 0.5000 0.0000 0.6415  3 Pt 2.56-2.67, 2 Mg 2.67
Zn: 0.0000 0.0000 0.0000  4 Pt 2.61
Pt: 0.0000 0.0000 0.5000  4 Zn 2.67
Zn: 0.0000 0.5000 0.3585  3 Pt 2.56-2.67, 2 Mg 2.67
Pt: 0.0000 0.5000 0.1322  5 Zn 2.56-2.61
Zn: 0.5000 0.5000 0.0000  4 Pt 2.61
Sr: 0.0000 0.5000 0.7624  4 Pt 3.25, 8 Zn 3.32-3.43
Sr: 0.5000 0.0000 0.2376  4 Pt 3.25, 8 Zn 3.32-3.43
Pt: 0.5000 0.0000 0.8678  5 Zn 2.56-2.61
Mg: 0.5000 0.5000 0.5000  4 Zn 2.67

Volume: 20.7 A^3/atom
SG: No. 115
DOS(E_F): 4.4 states/eV/f.u.
Crystal system: tetragonal



First-principles (PBE) data for Mg3TaPt4 after structural relaxation, as listed in Alexandria.

Unit cell a=2.9440 b=2.9440 c=14.7972 alpha=90.00 beta=90.00 gamma=90.00
Closest atoms and distances in Å follow each position.
Fractional positions:
Pt: 0.0000 0.0000 0.6218  8 Mg 2.74-2.75, 4 Pt 2.94
Pt: 0.0000 0.0000 0.8714  4 Ta 2.82, 4 Mg 2.83, 4 Pt 2.94
Ta: 0.5000 0.5000 0.0000  8 Pt 2.82, 4 Ta 2.94
Pt: 0.0000 0.0000 0.3782  8 Mg 2.74-2.75, 4 Pt 2.94
Mg: 0.5000 0.5000 0.2578  8 Pt 2.74-2.83, 4 Mg 2.94
Pt: 0.0000 0.0000 0.1286  4 Ta 2.82, 4 Mg 2.83, 4 Pt 2.94
Mg: 0.5000 0.5000 0.5000  8 Pt 2.75, 4 Mg 2.94
Mg: 0.5000 0.5000 0.7422  8 Pt 2.74-2.83, 4 Mg 2.94

Volume: 16.0 A^3/atom
SG: No. 123
DOS(E_F): 2.6 states/eV/f.u.
Crystal system: tetragonal



First-principles (PBE) data for Mg2TaPt9 after structural relaxation, as listed in Alexandria.

Unit cell a=3.9747 b=3.9747 c=11.8952 alpha=90.00 beta=90.00 gamma=90.00
Closest atoms and distances in Å follow each position.
Fractional positions:
Pt: 0.0000 0.5000 0.5000  4 Mg 2.77, 8 Pt 2.81
Pt: 0.5000 0.5000 0.6672  4 Mg 2.81, 8 Pt 2.81-2.82
Pt: 0.0000 0.5000 0.1641  2 Ta 2.79, 8 Pt 2.79-2.82, 2 Mg 2.86
Pt: 0.5000 0.5000 0.3328  4 Mg 2.81, 8 Pt 2.81-2.82
Pt: 0.5000 0.0000 0.1641  2 Ta 2.79, 8 Pt 2.79-2.82, 2 Mg 2.86
Mg: 0.0000 0.0000 0.6626  12 Pt 2.77-2.86
Pt: 0.5000 0.0000 0.5000  4 Mg 2.77, 8 Pt 2.81
Pt: 0.5000 0.0000 0.8359  2 Ta 2.79, 8 Pt 2.79-2.82, 2 Mg 2.86
Pt: 0.0000 0.5000 0.8359  2 Ta 2.79, 8 Pt 2.79-2.82, 2 Mg 2.86
Pt: 0.5000 0.5000 0.0000  8 Pt 2.79, 4 Ta 2.81
Ta: 0.0000 0.0000 0.0000  12 Pt 2.79-2.81
Mg: 0.0000 0.0000 0.3374  12 Pt 2.77-2.86

Volume: 15.7 A^3/atom
SG: No. 123
DOS(E_F): 9.6 states/eV/f.u.
Crystal system: tetragonal



| no. | E_form (meV per atom) |
| --- | --- |
| 1 | -603 |
| 2 | -812 |
| 3 | -687 |